1.
Material: BeTcN
Method: DFT, GGA-PBE
State: optimized geometry

- Total moment: 0.00 μB per formula unit
- Offset from the most stable computed form: 320 meV per atom
- Fermi-level density of states: 1.28 states/eV per cell
- ΔE_f (raw): -0.099 eV per atom

Geometry as POSCAR:
```
BeTcN
1.0
-0.7533 -2.4850 0.7874
2.4290 -0.3716 1.1510
-1.4717 1.5933 3.6202
Be Tc N
1 1 1
direct
0.5000 0.5000 0.3683
0.0000 0.0000 0.7744
0.5000 0.5000 0.9782
```

2.
Material: BeTcN2
Method: DFT, GGA-PBE
State: optimized geometry

- Total moment: 0.00 μB per formula unit
- Fermi-level density of states: 2.37 states/eV per cell
- ΔE_f (raw): 0.478 eV per atom

Geometry as POSCAR:
```
BeTcN2
1.0
-4.8254 -0.4057 2.9727
-2.8113 0.2654 4.9307
-3.9892 2.3390 3.3018
Be Tc N
1 1 2
direct
0.5000 0.5000 0.5000
0.0000 0.0000 0.0000
0.8869 0.8869 0.8869
0.1131 0.1131 0.1131
```

3.
Material: BeTcN
Method: DFT, GGA-PBE
State: optimized geometry

- Total moment: 0.00 μB per formula unit
- Offset from the most stable computed form: 0 meV per atom
- Fermi-level density of states: 1.77 states/eV per cell
- ΔE_f (raw): -0.419 eV per atom

Geometry as POSCAR:
```
BeTcN
1.0
-1.0023 2.7013 0.4496
-0.4251 -2.0668 2.0128
3.4531 0.9906 1.7465
Be Tc N
1 1 1
direct
0.6667 0.3333 0.0000
0.3333 0.6667 0.5000
0.3333 0.6667 0.0000
```